[1]
An optimized crystal structure of Ce3ErRh3, computed with PBE.

M_tot (μB per atom): 0.129
ΔH_f (0 K) (eV/atom): -0.63

Cell: 6.8453 6.8453 6.9577 Å, 90.36 90.36 97.79°
With the nearest neighbours (Å) after each atom.
Sites, in units of the cell vectors:
Rh: 0.5152 0.9710 0.2303  5 Ce 2.71-3.03, 1 Er 2.92, 1 Rh 2.95
Rh: 0.0290 0.4848 0.7697  5 Ce 2.71-3.03, 1 Er 2.92, 1 Rh 2.95
Rh: 0.9710 0.5152 0.2303  5 Ce 2.71-3.03, 1 Er 2.92, 1 Rh 2.95
Rh: 0.4848 0.0290 0.7697  5 Ce 2.71-3.03, 1 Er 2.92, 1 Rh 2.95
Ce: 0.2519 0.7481 0.0000  4 Rh 2.71-2.84
Ce: 0.6361 0.6361 0.3914  3 Rh 2.78-3.01, 1 Ce 2.89
Er: 0.2494 0.2494 0.1170  4 Rh 2.85-2.92
Rh: 0.0599 0.0599 0.7862  5 Ce 2.81-3.04, 2 Er 2.85-2.87, 2 Rh 2.95
Ce: 0.8145 0.1855 0.5000  6 Rh 2.81-3.03
Ce: 0.7481 0.2519 0.0000  4 Rh 2.71-2.84
Rh: 0.9401 0.9401 0.2138  5 Ce 2.81-3.04, 2 Er 2.85-2.87, 2 Rh 2.95
Ce: 0.1855 0.8145 0.5000  6 Rh 2.81-3.03
Er: 0.7506 0.7506 0.8830  4 Rh 2.85-2.92
Ce: 0.3639 0.3639 0.6086  3 Rh 2.78-3.01, 1 Ce 2.89

---

[2]
An optimized crystal structure of Ce2ErSb3Rh4, computed with PBE.

M_tot (μB per atom): 0.178
E_tot (eV per atom): -6.651

Cell: 4.3479 4.3479 11.5541 Å, 90.00 90.00 90.00°
With the nearest neighbours (Å) after each atom.
Sites, in units of the cell vectors:
Sb: 0.0000 0.5000 0.1304  5 Rh 2.57-2.64
Rh: 0.0000 0.0000 0.0000  4 Sb 2.64
Rh: 0.0000 0.5000 0.3529  3 Sb 2.57-2.76, 2 Er 2.76
Er: 0.5000 0.5000 0.5000  4 Rh 2.76, 4 Sb 3.07
Sb: 0.0000 0.0000 0.5000  4 Rh 2.76, 4 Er 3.07
Rh: 0.5000 0.0000 0.6471  3 Sb 2.57-2.76, 2 Er 2.76
Ce: 0.5000 0.0000 0.2333  4 Sb 3.30, 8 Rh 3.37-3.46
Sb: 0.5000 0.0000 0.8696  5 Rh 2.57-2.64
Ce: 0.0000 0.5000 0.7667  4 Sb 3.30, 8 Rh 3.37-3.46
Rh: 0.5000 0.5000 0.0000  4 Sb 2.64

---

[3]
An optimized crystal structure of CeErTcRh, computed with PBE.

M_tot (μB per atom): 0.000
ΔH_f (0 K) (eV/atom): -0.40

Cell: 4.8512 4.8512 4.8512 Å, 60.00 60.00 60.00°
With the nearest neighbours (Å) after each atom.
Sites, in units of the cell vectors:
Tc: 0.5000 0.5000 0.5000  4 Ce 2.97, 4 Er 2.97
Ce: 0.7500 0.7500 0.7500  4 Tc 2.97, 4 Rh 2.97
Rh: 0.0000 0.0000 0.0000  4 Er 2.97, 4 Ce 2.97
Er: 0.2500 0.2500 0.2500  4 Rh 2.97, 4 Tc 2.97

---

[4]
An optimized crystal structure of CeErTlRh, computed with PBE.

M_tot (μB per atom): 0.184
Relative energy among the computed polymorphs (meV per atom): 0.0
ΔH_f (0 K) (eV/atom): -0.56

Cell: 3.4283 3.4283 8.2029 Å, 90.00 90.00 90.00°
With the nearest neighbours (Å) after each atom.
Sites, in units of the cell vectors:
Tl: 0.0000 0.0000 0.0787  4 Er 3.37, 4 Tl 3.43, 4 Ce 3.44
Ce: 0.5000 0.5000 0.7810  4 Rh 3.02
Rh: 0.0000 0.0000 0.5617  4 Er 2.92, 4 Ce 3.02
Er: 0.5000 0.5000 0.3633  4 Rh 2.92

---

Q: The lowest M_tot belongs to which entry?
A: CeErTcRh